Entry 1:
VASP calculation (GGA-PBEsol) on a relaxed CoRe2Mo crystal.

Calculated values
**Total moment**: 0.0 μB per formula unit
**Polymorph energy (0 for the lowest one)**: 128 meV per atom
**SG**: Pmmm (47)
**Formation energy from the elements**: 0.162 eV per atom
**Raw total energy**: -11.3805 eV per atom

a = 2.6625 Å, b = 3.7612 Å, c = 5.5076 Å
α = 90.00°, β = 90.00°, γ = 90.00°
Element x y z (fractional)
Re1 0.0000 0.0000 0.2282
Re2 0.0000 0.0000 0.7718
Mo1 0.5000 0.5000 0.5000
Co1 0.5000 0.5000 0.0000

---

Entry 2:
VASP calculation (GGA-PBEsol) on a relaxed Cs2ScCrBi crystal.

Calculated values
**Total moment**: 4.3 μB per formula unit
**SG**: P4/mmm (123)
**Formation energy from the elements**: 0.954 eV per atom
**Raw total energy**: -3.6493 eV per atom

a = 5.3432 Å, b = 6.0160 Å, c = 6.0160 Å
α = 90.00°, β = 90.00°, γ = 90.00°
Each line ends with the local moment (μB).
Element x y z (fractional)
Cs1 0.0000 0.0000 0.5000  0.05
Cs2 0.0000 0.5000 0.0000  0.05
Sc1 0.5000 0.0000 0.0000  -0.33
Bi1 0.5000 0.5000 0.5000  0.24
Cr1 0.0000 0.0000 0.0000  3.57

---

Entry 3:
VASP calculation (GGA-PBEsol) on a relaxed NdSi crystal.

Calculated values
**Total moment**: 0.0 μB per formula unit
**ΔE_f (raw)**: -0.820 eV per atom
**SG**: Pnma (62)
**Raw total energy**: -6.2766 eV per atom

a = 3.8998 Å, b = 5.8614 Å, c = 8.1542 Å
α = 90.00°, β = 90.00°, γ = 90.00°
Element x y z (fractional)
Nd1 0.7500 0.6136 0.3208
Nd2 0.2500 0.3864 0.6792
Nd3 0.2500 0.1136 0.1792
Nd4 0.7500 0.8864 0.8208
Si1 0.2500 0.6221 0.0352
Si2 0.2500 0.8779 0.5352
Si3 0.7500 0.1221 0.4648
Si4 0.7500 0.3779 0.9648

---

Entry 4:
VASP calculation (GGA-PBEsol) on a relaxed CsHf2CuGe crystal.

Calculated values
**Total moment**: 0.0 μB per formula unit
**SG**: P4/mmm (123)
**Formation energy from the elements**: 0.898 eV per atom
**Raw total energy**: -5.3462 eV per atom

a = 4.5058 Å, b = 5.0795 Å, c = 5.0795 Å
α = 90.00°, β = 90.00°, γ = 90.00°
Element x y z (fractional)
Hf1 0.0000 0.5000 0.0000
Hf2 0.0000 0.0000 0.5000
Cs1 0.5000 0.5000 0.5000
Cu1 0.0000 0.0000 0.0000
Ge1 0.5000 0.0000 0.0000

---

The lowest raw total energy belongs to which entry? CoRe2Mo

---

total moment of number 2 (Cs2ScCrBi)? 4.3 μB per formula unit

---

What is the formula in the second record? Cs2ScCrBi